4
Lattice="-4.0632 -2.9274 -4.8821 -2.7015 -5.2841 -3.7007 -5.1041 -4.1446 -2.3843" Properties=species:S:1:pos:R:3 comment="BeInCo2 | Alexandria | PBE-GGA | relaxed" crystal_system=trigonal total_energy_ev_per_atom=-4.876 total_magnetization_mub_per_fu=1.67 pbc="T T T"
Co -5.6917 -5.9253 -5.2592
In -2.9672 -3.0890 -2.7418
Be -8.9017 -9.2671 -8.2253
Co -0.2428 -0.2527 -0.2243

=====

14
Lattice="8.4780 0.2956 0.2247 -3.5123 7.7219 0.2247 -0.5746 -0.9278 7.6564" Properties=species:S:1:pos:R:3 comment="La3PI3 | Alexandria | PBE-GGA | relaxed" e_above_lowest_polymorph_mev_per_atom=386 crystal_system=monoclinic raw_formation_energy_mev_per_atom=-1102.0 total_energy_ev_per_atom=-4.651 total_magnetization_mub_per_fu=0.00 pbc="T T T"
La -0.0982 -0.1586 5.9185
La -0.3415 3.2287 2.6221
I 1.5784 2.5484 5.3399
P 0.9338 1.5077 0.8957
La 3.0427 1.1326 2.6221
La 4.7326 3.8611 5.4836
I -0.3464 5.7611 0.2247
I 5.3121 2.2565 0.2247
I -1.6795 5.9449 4.0529
I 2.8127 4.5414 2.7659
La 1.3484 5.9571 5.4836
I 6.0706 1.1448 4.0529
P 3.4573 5.5821 7.2100
La 4.4893 7.2483 2.1873

=====

16
Lattice="7.0594 -0.0180 -0.1149 -0.0230 7.0594 -0.1149 -3.5525 -3.5550 5.0932" Properties=species:S:1:pos:R:3 comment="Sr2PmNbN4 | Alexandria | PBE-GGA | relaxed" crystal_system=orthorhombic raw_formation_energy_mev_per_atom=-950.8 total_energy_ev_per_atom=-7.387 total_magnetization_mub_per_fu=0.00 pbc="T T T"
Nb 1.7419 1.7432 2.4317
Sr 3.5297 -0.0090 -0.0574
N 1.8947 1.8424 4.7156
Pm 5.2716 1.7341 2.3742
Sr 1.7534 -1.7865 2.4891
N 3.3041 0.2668 2.4909
Sr 3.5182 3.5206 -0.1149
N 1.5891 1.6440 0.1478
N 5.5820 1.5431 -0.0557
N 0.0991 0.1529 2.2839
Nb 3.5069 -3.5730 4.9783
N 0.1798 3.2195 2.3726
N -2.0980 1.9432 4.9192
Sr -1.7763 -1.7775 2.5466
Pm -0.0115 3.5297 -0.0574
N 3.3847 3.3335 2.5795

=====

3
Lattice="5.1274 -0.2298 0.0000 3.3959 3.8485 0.0000 -4.2617 -1.8094 2.2153" Properties=species:S:1:pos:R:3 comment="CuWSe | Alexandria | PBE-GGA | relaxed" e_above_lowest_polymorph_mev_per_atom=288 crystal_system=tetragonal raw_formation_energy_mev_per_atom=389.0 total_energy_ev_per_atom=-6.456 total_magnetization_mub_per_fu=0.00 pbc="T T T"
W 5.7604 2.4457 0.0000
Cu 8.5119 3.6139 0.0000
Se 2.7744 1.1779 0.0000

=====

4
Lattice="-2.0048 2.3714 -3.1439 -0.1285 -1.4995 -4.1547 -6.6319 -2.9306 -1.0871" Properties=species:S:1:pos:R:3 comment="SrPaGe2 | Alexandria | PBE-GGA | relaxed" e_above_lowest_polymorph_mev_per_atom=9 crystal_system=trigonal total_energy_ev_per_atom=-5.457 total_magnetization_mub_per_fu=0.00 pbc="T T T"
Ge -6.2794 -1.3838 -6.3562
Ge -2.4857 -0.6749 -2.0295
Pa -4.3826 -1.0293 -4.1929
Sr 0.0000 0.0000 0.0000

=====

17
Lattice="7.2606 0.0000 0.0000 -2.4202 6.8454 0.0000 -2.4202 -3.4227 5.9283" Properties=species:S:1:pos:R:3 comment="SmSi12Pt4 | Alexandria | PBE-GGA | relaxed" crystal_system=cubic raw_formation_energy_mev_per_atom=-442.1 total_energy_ev_per_atom=-5.969 total_magnetization_mub_per_fu=0.00 pbc="T T T"
Si -1.4022 4.6048 2.1248
Si 1.4022 0.4622 5.0503
Si 4.8088 1.7337 1.2468
Si 2.4518 -0.2130 2.1248
Si 0.0316 -1.4760 5.0503
Pt 1.2101 1.7113 2.9641
Pt -1.2101 -1.7113 2.9641
Si 3.8224 -1.1821 3.8034
Si 2.3886 4.8987 0.8780
Sm 0.0000 0.0000 0.0000
Si 1.0180 2.9604 0.8780
Si 3.4382 2.7028 2.9255
Si -0.0316 3.6356 3.8034
Si -2.3886 1.6890 4.6814
Si -1.0181 0.7199 3.0028
Pt -1.2101 3.4227 0.0000
Pt 3.6303 0.0000 0.0000

=====

10
Lattice="-0.1133 4.1389 -6.2895 2.8394 -5.8022 -3.8694 -3.5442 -1.2350 -0.7489" Properties=species:S:1:pos:R:3 comment="Hf2MnSb2 | Alexandria | PBE-GGA | relaxed" e_above_lowest_polymorph_mev_per_atom=0 crystal_system=tetragonal raw_formation_energy_mev_per_atom=-155.9 total_energy_ev_per_atom=-7.620 total_magnetization_mub_per_fu=3.44 pbc="T T T"
Sb 0.3578 1.8166 -4.6892
Mn 1.3631 -0.8317 -5.0794
Sb 1.7554 -0.2736 -7.8562
Hf 0.0535 -3.7663 -3.8218
Mn 0.0000 0.0000 0.0000
Hf -0.8716 0.8680 -7.0860
Hf 0.5710 -2.8701 -7.7489
Hf -1.3891 -0.0282 -3.1588
Sb 2.3683 -3.4799 -5.4697
Sb 0.9708 -1.3898 -2.3026

=====

5
Lattice="5.0045 0.0000 0.0000 0.0000 4.2432 0.0000 0.0000 0.0000 5.0045" Properties=species:S:1:pos:R:3 comment="NbBiBOs2 | Alexandria | PBE-GGA | relaxed" crystal_system=tetragonal total_energy_ev_per_atom=-5.757 total_magnetization_mub_per_fu=0.00 pbc="T T T"
Nb 2.5023 2.1216 2.5023
Os 2.5023 0.0000 0.0000
Bi 0.0000 0.0000 0.0000
Os 0.0000 0.0000 2.5023
B 0.0000 2.1216 0.0000

=====

12
Lattice="-0.5364 2.9188 1.9804 2.2122 -3.5993 5.9041 6.8730 2.8112 -2.2819" Properties=species:S:1:pos:R:3 comment="NdYTiN3 | Alexandria | PBE-GGA | relaxed" crystal_system=monoclinic raw_formation_energy_mev_per_atom=-1306.4 total_energy_ev_per_atom=-8.657 total_magnetization_mub_per_fu=0.00 pbc="T T T"
N 3.5587 3.0411 1.3024
Ti 4.3451 0.0838 5.8741
N 1.4537 1.1292 3.5502
N 7.0952 1.0016 2.0524
Nd 7.1424 1.5382 4.4880
Y 6.2015 3.2377 1.7283
N 4.9902 -0.9103 4.3002
N 2.5991 -0.5833 6.3844
Y 2.3474 -1.1070 3.8743
Ti 4.2038 2.0469 -0.2715
N 5.9498 2.7140 -0.7818
Nd 1.4065 0.5925 1.1146

=====

26
Lattice="-0.5380 -2.3400 -2.7192 11.5293 -2.2573 -0.3385 -2.6349 -15.5415 13.8952" Properties=species:S:1:pos:R:3 comment="La5Pr2Er6 | Alexandria | PBE-GGA | relaxed" crystal_system=orthorhombic total_energy_ev_per_atom=-4.643 total_magnetization_mub_per_fu=0.00 pbc="T T T"
La 6.2632 -11.5762 6.3029
La 2.0933 -8.5626 4.5346
Er 0.6930 -1.1928 0.8893
La 5.4216 -6.9543 2.4922
Pr 0.2477 -12.3806 10.6048
Er 2.9623 -3.7671 0.2361
La -0.4583 -16.0917 11.5185
Pr 8.6467 -5.4182 2.9519
Er 3.4073 -9.7529 7.7186
Pr 6.1072 -12.9497 9.9354
La 8.8148 -4.0470 -0.6809
Er 2.8366 -14.3112 11.7540
La 2.9348 -13.1844 8.3453
Er 5.3942 -16.3716 10.6015
Er 8.0542 -8.8637 3.6144
Er 0.3022 -11.2750 7.2231
La 8.4842 -15.5827 9.3112
La -1.5864 -8.9407 5.5880
Er 6.0578 -3.4876 1.8027
Er -0.2689 -5.6745 4.9363
Er 5.4871 -8.0459 5.8382
Er 9.1633 -12.1243 8.6205
La 5.4957 -2.2986 -1.5288
Pr 2.7873 -4.8491 3.6213
La -0.1277 -4.5561 1.5263
Er 8.2014 -16.6060 12.6674

=====

6
Lattice="-2.6768 3.2976 -2.3870 -3.0806 -0.1063 -1.6645 -8.3202 2.6886 8.0724" Properties=species:S:1:pos:R:3 comment="MgTlGa | Alexandria | PBE-GGA | relaxed" crystal_system=monoclinic total_energy_ev_per_atom=-2.375 total_magnetization_mub_per_fu=0.00 pbc="T T T"
Ga -4.5060 1.9982 2.8413
Tl -2.7703 1.1051 -0.3389
Ga -9.5717 3.8816 1.1796
Tl -11.3074 4.7747 4.3598
Mg -5.0863 3.2630 0.2673
Mg -8.9914 2.6168 3.7537

=====

14
Lattice="6.2790 0.0000 -2.6656 -1.3096 6.4796 -3.0849 0.1809 0.2884 9.1544" Properties=species:S:1:pos:R:3 comment="Ho5Ag2 | Alexandria | PBE-GGA | relaxed" e_above_lowest_polymorph_mev_per_atom=22 crystal_system=orthorhombic total_energy_ev_per_atom=-4.192 total_magnetization_mub_per_fu=0.00 pbc="T T T"
Ho -0.1088 1.9337 4.1079
Ho 3.0307 1.9337 2.7751
Ho 4.8664 5.1948 2.7352
Ag 1.6914 4.3505 3.9842
Ho 0.9150 3.2398 -2.2089
Ho 4.0545 3.2398 -3.5417
Ho 2.1196 4.8343 0.6288
Ho 5.2591 4.8343 -0.7040
Ho 2.6546 0.6047 6.2533
Ag 3.4589 2.4176 -0.5804
Ag 5.5043 1.0183 4.2378
Ho 2.4956 6.1634 -2.8494
Ag -0.3540 5.7497 -0.8340
Ho 0.2839 1.5732 0.6687